Here is a relaxed structure of PuSeO2 from the Alexandria database. Energies are from GGA-PBE.

Values from the calculation:
E_form (uncorrected): -324 kJ/mol of formula units
SG: R-3m, No. 166
size of the total moment: 3.6 μB per formula unit

Cell: 10.7385 10.7385 10.7385 Å, 17.05 17.05 17.05°
Last column: nearest neighbours and their distance in Å.
Positions (direct):
Pu1 0.0000 0.0000 0.0000  2 O 1.76
Se1 0.5000 0.5000 0.5000  6 Se 3.18
O1 0.0555 0.0555 0.0555  1 Pu 1.76
O2 0.9445 0.9445 0.9445  1 Pu 1.76

Here is a relaxed structure of Pu3Se2O from the Alexandria database. Energies are from GGA-PBE.

Values from the calculation:
E_form (uncorrected): -954 kJ/mol of formula units
SG: C2/c, No. 15
size of the total moment: 5.4 μB per formula unit

Cell: 6.8885 6.8885 6.7267 Å, 99.43 99.43 119.99°
Last column: nearest neighbours and their distance in Å.
Positions (direct):
Pu1 0.0000 0.5000 0.5000  4 Se 2.78-2.83, 2 O 2.87
Pu2 0.1354 0.2798 0.9998  2 O 2.53-2.54, 1 Se 2.83
Pu3 0.2798 0.1354 0.4998  2 O 2.53-2.54, 1 Se 2.83
Pu4 0.5000 0.0000 0.0000  4 Se 2.78-2.83, 2 O 2.87
Pu5 0.7202 0.8646 0.5002  2 O 2.53-2.54, 1 Se 2.83
Pu6 0.8646 0.7202 0.0002  2 O 2.53-2.54, 1 Se 2.83
Se1 0.2614 0.7386 0.2500  6 Pu 2.78-2.93
Se2 0.4197 0.5803 0.7500  6 Pu 2.83-3.02
Se3 0.5803 0.4197 0.2500  6 Pu 2.83-3.02
Se4 0.7386 0.2614 0.7500  6 Pu 2.78-2.93
O1 0.0758 0.9242 0.7500  4 Pu 2.53-2.54
O2 0.9242 0.0758 0.2500  4 Pu 2.53-2.54

Here is a relaxed structure of PuSe2O8 from the Alexandria database. Energies are from GGA-PBE.

Values from the calculation:
E_form (uncorrected): -1153 kJ/mol of formula units
SG: C2/m, No. 12
size of the total moment: 2.0 μB per formula unit

Cell: 6.2121 6.2121 8.0268 Å, 123.06 123.06 61.33°
Last column: nearest neighbours and their distance in Å.
Positions (direct):
Pu1 0.0000 0.0000 0.0000  2 O 1.77
Se1 0.1152 0.1152 0.7266  3 O 1.64-1.71
Se2 0.8848 0.8848 0.2734  3 O 1.64-1.71
O1 0.1363 0.7272 0.1836  1 Se 1.71
O2 0.2050 0.2050 0.2356  1 Pu 1.77
O3 0.2728 0.8637 0.8164  1 Se 1.71
O4 0.2972 0.2972 0.7989  1 Se 1.64
O5 0.7028 0.7028 0.2011  1 Se 1.64
O6 0.7272 0.1363 0.1836  1 Se 1.71
O7 0.7950 0.7950 0.7644  1 Pu 1.77
O8 0.8637 0.2728 0.8164  1 Se 1.71

Here is a relaxed structure of Pu3Se2O2 from the Alexandria database. Energies are from GGA-PBE.

Values from the calculation:
E_form (uncorrected): -1431 kJ/mol of formula units
excess energy over the best structure of this formula in the dataset: 94 meV per atom
SG: P2_1/c, No. 14
size of the total moment: 5.4 μB per formula unit

Cell: 6.7033 7.3808 6.7826 Å, 90.00 112.00 90.00°
Last column: nearest neighbours and their distance in Å.
Positions (direct):
Pu1 0.0000 0.0000 0.0000  2 O 2.32
Pu2 0.0000 0.5000 0.5000  2 O 2.32
Pu3 0.4366 0.1249 0.7569  3 O 2.32-2.38
Pu4 0.4366 0.3751 0.2569  3 O 2.32-2.38
Pu5 0.5634 0.6249 0.7431  3 O 2.32-2.38
Pu6 0.5634 0.8751 0.2431  3 O 2.32-2.38
Se1 0.2075 0.6490 0.9311  5 Pu 2.94-3.10
Se2 0.2075 0.8510 0.4311  5 Pu 2.94-3.10
Se3 0.7925 0.1490 0.5689  5 Pu 2.94-3.10
Se4 0.7925 0.3510 0.0689  5 Pu 2.94-3.10
O1 0.3373 0.1147 0.0504  4 Pu 2.32-2.38
O2 0.3373 0.3853 0.5504  4 Pu 2.32-2.38
O3 0.6627 0.6147 0.4496  4 Pu 2.32-2.38
O4 0.6627 0.8853 0.9496  4 Pu 2.32-2.38

Repeat the fourth record exactly.
Here is a relaxed structure of Pu3Se2O2 from the Alexandria database. Energies are from GGA-PBE.

Values from the calculation:
E_form (uncorrected): -1431 kJ/mol of formula units
excess energy over the best structure of this formula in the dataset: 94 meV per atom
SG: P2_1/c, No. 14
size of the total moment: 5.4 μB per formula unit

Cell: 6.7033 7.3808 6.7826 Å, 90.00 112.00 90.00°
Last column: nearest neighbours and their distance in Å.
Positions (direct):
Pu1 0.0000 0.0000 0.0000  2 O 2.32
Pu2 0.0000 0.5000 0.5000  2 O 2.32
Pu3 0.4366 0.1249 0.7569  3 O 2.32-2.38
Pu4 0.4366 0.3751 0.2569  3 O 2.32-2.38
Pu5 0.5634 0.6249 0.7431  3 O 2.32-2.38
Pu6 0.5634 0.8751 0.2431  3 O 2.32-2.38
Se1 0.2075 0.6490 0.9311  5 Pu 2.94-3.10
Se2 0.2075 0.8510 0.4311  5 Pu 2.94-3.10
Se3 0.7925 0.1490 0.5689  5 Pu 2.94-3.10
Se4 0.7925 0.3510 0.0689  5 Pu 2.94-3.10
O1 0.3373 0.1147 0.0504  4 Pu 2.32-2.38
O2 0.3373 0.3853 0.5504  4 Pu 2.32-2.38
O3 0.6627 0.6147 0.4496  4 Pu 2.32-2.38
O4 0.6627 0.8853 0.9496  4 Pu 2.32-2.38